## Ba3Cd2PdO6 (PBE)

Data for a geometry-optimized Ba3Cd2PdO6 structure.

Values from the calculation:
- symmetry = No. 164
- raw formation energy (eV/atom) = -1.453
- calculated density (Mg/m³) = 6.28
- crystal system = trigonal

Unit cell a=6.063 b=6.063 c=6.972 alpha=90.00 beta=90.00 gamma=120.00
Positions (direct):
O1 0.840 0.160 0.679
O2 0.160 0.840 0.321
O3 0.681 0.840 0.321
O4 0.160 0.319 0.321
O5 0.319 0.160 0.679
O6 0.840 0.681 0.679
Ba1 0.333 0.667 0.621
Ba2 0.000 0.000 0.000
Ba3 0.667 0.333 0.379
Pd1 0.000 0.000 0.500
Cd1 0.667 0.333 0.857
Cd2 0.333 0.667 0.143

=====

## BaCdPdO3 (PBE)

Data for a geometry-optimized BaCdPdO3 structure.

Values from the calculation:
- symmetry = No. 63
- raw formation energy (eV/atom) = -1.193
- calculated density (Mg/m³) = 6.06
- crystal system = orthorhombic

Unit cell a=5.903 b=5.575 c=7.283 alpha=112.51 beta=90.00 gamma=90.00
Positions (direct):
Cd1 0.750 0.581 0.162
Cd2 0.250 0.419 0.838
Pd1 0.250 0.009 0.019
Pd2 0.750 0.991 0.981
Ba1 0.250 0.715 0.430
Ba2 0.750 0.285 0.570
O1 0.000 0.252 0.000
O2 0.750 0.740 0.479
O3 0.000 0.748 0.000
O4 0.500 0.748 0.000
O5 0.250 0.260 0.521
O6 0.500 0.252 0.000

=====

## BaCd2PdO4 (PBE)

Data for a geometry-optimized BaCd2PdO4 structure.

Values from the calculation:
- symmetry = No. 63
- raw formation energy (eV/atom) = -1.000
- calculated density (Mg/m³) = 6.99
- crystal system = orthorhombic

Unit cell a=3.448 b=6.313 c=12.081 alpha=90.00 beta=90.00 gamma=105.85
Last column: magnetic moment on the atom in μB.
Positions (direct):
O1 0.529 0.058 0.250  0.16
O2 0.750 0.500 0.887  0.13
O3 0.000 0.000 0.000  0.05
O4 0.471 0.942 0.750  0.16
O5 0.250 0.500 0.387  0.13
O6 0.250 0.500 0.113  0.13
O7 0.000 0.000 0.500  0.05
O8 0.750 0.500 0.613  0.13
Cd1 0.628 0.255 0.463  0.01
Cd2 0.372 0.745 0.537  0.01
Cd3 0.372 0.745 0.963  0.01
Cd4 0.628 0.255 0.037  0.01
Ba1 0.139 0.278 0.750  0.00
Ba2 0.861 0.722 0.250  0.00
Pd1 0.876 0.753 0.750  0.60
Pd2 0.124 0.247 0.250  0.60

=====

## Ba3PmCd2O6 (PBE)

Data for a geometry-optimized Ba3PmCd2O6 structure.

Values from the calculation:
- symmetry = No. 164
- raw formation energy (eV/atom) = -2.017
- calculated density (Mg/m³) = 5.79
- crystal system = trigonal

Unit cell a=6.417 b=6.417 c=7.058 alpha=90.00 beta=90.00 gamma=120.00
Positions (direct):
O1 0.166 0.333 0.304
O2 0.834 0.667 0.696
O3 0.834 0.166 0.696
O4 0.667 0.834 0.304
O5 0.333 0.166 0.696
O6 0.166 0.834 0.304
Ba1 0.667 0.333 0.391
Ba2 0.333 0.667 0.609
Ba3 0.000 0.000 0.000
Cd1 0.667 0.333 0.857
Cd2 0.333 0.667 0.143
Pm1 0.000 0.000 0.500

=====

## BaPr2CdO5 (PBE)

Data for a geometry-optimized BaPr2CdO5 structure.

Values from the calculation:
- symmetry = No. 127
- raw formation energy (eV/atom) = -2.518
- calculated density (Mg/m³) = 6.78
- crystal system = tetragonal

Unit cell a=6.288 b=6.900 c=6.900 alpha=90.00 beta=90.00 gamma=90.00
Positions (direct):
Ba1 0.000 0.000 0.000
Ba2 0.000 0.500 0.500
O1 0.500 0.500 0.500
O2 0.746 0.849 0.349
O3 0.746 0.151 0.651
O4 0.746 0.349 0.151
O5 0.500 0.000 0.000
O6 0.254 0.349 0.151
O7 0.254 0.651 0.849
O8 0.746 0.651 0.849
O9 0.254 0.849 0.349
O10 0.254 0.151 0.651
Pr1 0.500 0.327 0.827
Pr2 0.500 0.173 0.327
Pr3 0.500 0.827 0.673
Pr4 0.500 0.673 0.173
Cd1 0.000 0.500 0.000
Cd2 0.000 0.000 0.500

=====

## Ba3PrCd2O6 (PBE)

Data for a geometry-optimized Ba3PrCd2O6 structure.

Values from the calculation:
- symmetry = No. 164
- raw formation energy (eV/atom) = -1.982
- calculated density (Mg/m³) = 5.66
- crystal system = trigonal

Unit cell a=6.469 b=6.469 c=7.075 alpha=90.00 beta=90.00 gamma=120.00
Positions (direct):
O1 0.168 0.832 0.301
O2 0.832 0.168 0.699
O3 0.168 0.335 0.301
O4 0.335 0.168 0.699
O5 0.832 0.665 0.699
O6 0.665 0.832 0.301
Ba1 0.000 0.000 0.000
Ba2 0.333 0.667 0.606
Ba3 0.667 0.333 0.394
Pr1 0.000 0.000 0.500
Cd1 0.667 0.333 0.860
Cd2 0.333 0.667 0.140

=====

## Ba3Cd2PtO6 (PBE)

Data for a geometry-optimized Ba3Cd2PtO6 structure.

Values from the calculation:
- symmetry = No. 164
- raw formation energy (eV/atom) = -1.485
- calculated density (Mg/m³) = 6.95
- crystal system = trigonal

Unit cell a=6.032 b=6.032 c=7.033 alpha=90.00 beta=90.00 gamma=120.00
Positions (direct):
Cd1 0.667 0.333 0.862
Cd2 0.333 0.667 0.138
Ba1 0.000 0.000 0.000
Ba2 0.333 0.667 0.621
Ba3 0.667 0.333 0.379
O1 0.159 0.841 0.325
O2 0.841 0.682 0.675
O3 0.159 0.318 0.325
O4 0.682 0.841 0.325
O5 0.318 0.159 0.675
O6 0.841 0.159 0.675
Pt1 0.000 0.000 0.500

=====

## Ba3CdPt2O6 (PBE)

Data for a geometry-optimized Ba3CdPt2O6 structure.

Values from the calculation:
- symmetry = No. 164
- raw formation energy (eV/atom) = -1.231
- calculated density (Mg/m³) = 7.55
- crystal system = trigonal

Unit cell a=6.087 b=6.087 c=6.924 alpha=90.00 beta=90.00 gamma=120.00
Positions (direct):
Pt1 0.333 0.667 0.147
Pt2 0.667 0.333 0.853
O1 0.170 0.830 0.302
O2 0.339 0.170 0.698
O3 0.830 0.170 0.698
O4 0.170 0.339 0.302
O5 0.830 0.661 0.698
O6 0.661 0.830 0.302
Cd1 0.000 0.000 0.500
Ba1 0.333 0.667 0.644
Ba2 0.667 0.333 0.356
Ba3 0.000 0.000 0.000

=====

## BaPuCdO5 (PBE)

Data for a geometry-optimized BaPuCdO5 structure.

Values from the calculation:
- symmetry = No. 15
- raw formation energy (eV/atom) = -2.313
- calculated density (Mg/m³) = 6.53
- crystal system = monoclinic

Unit cell a=6.423 b=6.423 c=8.339 alpha=106.60 beta=106.60 gamma=105.65
Last column: magnetic moment on the atom in μB.
Positions (direct):
O1 0.714 0.107 0.427  -0.06
O2 0.235 0.326 0.607  -0.10
O3 0.893 0.286 0.073  -0.06
O4 0.765 0.674 0.393  -0.10
O5 0.674 0.765 0.893  -0.10
O6 0.326 0.235 0.107  -0.10
O7 0.954 0.046 0.750  -0.12
O8 0.286 0.893 0.573  -0.06
O9 0.046 0.954 0.250  -0.12
O10 0.107 0.714 0.927  -0.06
Ba1 0.681 0.319 0.750  0.00
Ba2 0.319 0.681 0.250  0.00
Cd1 0.297 0.703 0.750  0.00
Cd2 0.703 0.297 0.250  0.00
Pu1 0.000 0.000 0.500  2.45
Pu2 0.000 0.000 0.000  2.45

=====

## BaPu2CdO8 (PBE)

Data for a geometry-optimized BaPu2CdO8 structure.

Values from the calculation:
- symmetry = No. 119
- raw formation energy (eV/atom) = -1.887
- calculated density (Mg/m³) = 6.45
- crystal system = tetragonal

Unit cell a=6.617 b=6.617 c=6.617 alpha=110.02 beta=110.02 gamma=108.38
Last column: magnetic moment on the atom in μB.
Positions (direct):
O1 0.323 0.513 0.190  -0.15
O2 0.940 0.605 0.665  -0.17
O3 0.395 0.060 0.335  -0.17
O4 0.867 0.677 0.190  -0.15
O5 0.940 0.275 0.335  -0.17
O6 0.487 0.677 0.810  -0.15
O7 0.323 0.133 0.810  -0.15
O8 0.725 0.060 0.665  -0.17
Cd1 0.250 0.750 0.500  0.00
Pu1 0.750 0.250 0.500  2.38
Pu2 0.500 0.500 0.000  2.89
Ba1 0.000 0.000 0.000  -0.02

=====

## Ba3PuCd2O8 (PBE)

Data for a geometry-optimized Ba3PuCd2O8 structure.

Values from the calculation:
- symmetry = No. 164
- raw formation energy (eV/atom) = -2.121
- calculated density (Mg/m³) = 6.50
- crystal system = trigonal

Unit cell a=6.079 b=6.079 c=8.051 alpha=90.00 beta=90.00 gamma=120.00
Last column: magnetic moment on the atom in μB.
Positions (direct):
O1 0.158 0.317 0.348  -0.06
O2 0.317 0.158 0.652  -0.06
O3 0.683 0.842 0.348  -0.06
O4 0.333 0.667 0.933  -0.02
O5 0.158 0.842 0.348  -0.06
O6 0.842 0.158 0.652  -0.06
O7 0.842 0.683 0.652  -0.06
O8 0.667 0.333 0.067  -0.02
Cd1 0.667 0.333 0.814  -0.01
Cd2 0.333 0.667 0.186  -0.01
Ba1 0.667 0.333 0.364  0.00
Ba2 0.333 0.667 0.636  0.00
Ba3 0.000 0.000 0.000  0.00
Pu1 0.000 0.000 0.500  2.43

=====

## Ba2PuCd2O6 (PBE)

Data for a geometry-optimized Ba2PuCd2O6 structure.

Values from the calculation:
- symmetry = No. 166
- raw formation energy (eV/atom) = -1.999
- calculated density (Mg/m³) = 6.51
- crystal system = trigonal

Unit cell a=6.508 b=6.508 c=6.940 alpha=62.04 beta=62.04 gamma=60.00
Last column: magnetic moment on the atom in μB.
Positions (direct):
O1 0.231 0.231 0.745  -0.04
O2 0.769 0.769 0.255  -0.04
O3 0.793 0.231 0.745  -0.04
O4 0.769 0.207 0.255  -0.04
O5 0.231 0.793 0.745  -0.04
O6 0.207 0.769 0.255  -0.04
Cd1 0.585 0.585 0.245  0.02
Cd2 0.415 0.415 0.755  0.02
Ba1 0.205 0.205 0.386  0.01
Ba2 0.795 0.795 0.614  0.01
Pu1 0.000 0.000 0.000  4.06

=====

Q: Which formula does entry 1 have?
A: Ba3Cd2PdO6

=====

Q: The highest calculated density belongs to which entry?
A: Ba3CdPt2O6

=====

Q: Which of these has the lowest raw formation energy?
A: BaPr2CdO5

=====

Q: The lowest raw formation energy belongs to which entry?
A: BaPr2CdO5